(1)
LiVRe3: relaxed, PBE.

Calculated values
Spin magnetization   0.4 μB per formula unit
Energy of formation   1.633 eV per atom
Energy above the lowest structure with this stoichiometry   38.4 kJ/mol of atoms

```
5
Lattice="4.521 0.000 0.000 0.000 4.521 0.000 0.000 0.000 4.521" Properties=species:S:1:pos:R:3 pbc="T T T"
Li 0.000 0.000 0.000
V 2.260 2.260 2.260
Re 0.000 2.260 2.260
Re 2.260 0.000 2.260
Re 2.260 2.260 0.000
```

=====

(2)
LiV3Re: relaxed, PBE.

Calculated values
Spin magnetization   1.6 μB per formula unit
Energy of formation   1.160 eV per atom
Energy above the lowest structure with this stoichiometry   4.5 kJ/mol of atoms

```
5
Lattice="4.070 0.000 0.000 0.000 4.070 0.000 0.000 0.000 4.070" Properties=species:S:1:pos:R:3 pbc="T T T"
Li 0.000 0.000 0.000
V 0.000 0.000 2.035
V 0.000 2.035 0.000
V 2.035 0.000 0.000
Re 2.035 2.035 2.035
```

=====

(3)
LiVRe2: relaxed, PBE.

Calculated values
Spin magnetization   0.0 μB per formula unit
Energy of formation   0.807 eV per atom
Energy above the lowest structure with this stoichiometry   54.6 kJ/mol of atoms

```
8
Lattice="-3.385 3.385 2.591 3.385 -3.385 2.591 3.385 3.385 -2.591" Properties=species:S:1:pos:R:3 pbc="T T T"
Li 0.000 0.000 0.000
Li 0.000 3.385 1.295
V 3.385 0.000 1.295
V 0.000 0.000 2.591
Re 1.693 -1.621 1.943
Re 1.765 1.693 0.648
Re 1.693 5.006 -0.648
Re 1.621 1.693 3.238
```

=====

(4)
LiVRe2: relaxed, PBE.

Calculated values
Spin magnetization   0.0 μB per formula unit
Energy of formation   0.481 eV per atom
Energy above the lowest structure with this stoichiometry   23.2 kJ/mol of atoms

```
4
Lattice="1.336 0.771 9.753 -1.336 0.771 9.753 0.000 -1.542 9.753" Properties=species:S:1:pos:R:3 pbc="T T T"
Li 0.000 0.000 0.000
V 0.000 0.000 14.630
Re 0.000 0.000 12.128
Re 0.000 0.000 17.132
```

=====

(5)
Li3VRe: relaxed, PBE.

Calculated values
Spin magnetization   1.5 μB per formula unit
Energy of formation   1.688 eV per atom
Energy above the lowest structure with this stoichiometry   0.0 kJ/mol of atoms

```
5
Lattice="4.321 0.000 0.000 0.000 4.321 0.000 0.000 0.000 4.321" Properties=species:S:1:pos:R:3 pbc="T T T"
Li 0.000 0.000 2.161
Li 0.000 2.161 0.000
Li 2.161 0.000 0.000
V 0.000 0.000 0.000
Re 2.161 2.161 2.161
```

=====

(6)
LiV3Re: relaxed, PBE.

Calculated values
Spin magnetization   0.0 μB per formula unit
Energy of formation   1.114 eV per atom
Energy above the lowest structure with this stoichiometry   0.0 kJ/mol of atoms

```
5
Lattice="4.623 0.000 0.000 0.000 4.623 0.000 0.000 0.000 4.623" Properties=species:S:1:pos:R:3 pbc="T T T"
Li 0.000 0.000 0.000
V 0.000 2.311 2.311
V 2.311 0.000 2.311
V 2.311 2.311 0.000
Re 2.311 2.311 2.311
```

=====

(7)
LiVRe3: relaxed, PBE.

Calculated values
Spin magnetization   0.0 μB per formula unit
Energy of formation   1.235 eV per atom
Energy above the lowest structure with this stoichiometry   0.0 kJ/mol of atoms

```
5
Lattice="4.121 0.000 0.000 0.000 4.121 0.000 0.000 0.000 4.121" Properties=species:S:1:pos:R:3 pbc="T T T"
Li 0.000 0.000 0.000
V 2.060 2.060 2.060
Re 0.000 0.000 2.060
Re 0.000 2.060 0.000
Re 2.060 0.000 0.000
```

=====

(8)
LiVRe2: relaxed, PBE.

Calculated values
Spin magnetization   0.0 μB per formula unit
Energy of formation   0.241 eV per atom
Energy above the lowest structure with this stoichiometry   0.0 kJ/mol of atoms

```
4
Lattice="0.000 2.994 2.994 2.994 0.000 2.994 2.994 2.994 0.000" Properties=species:S:1:pos:R:3 pbc="T T T"
Li 0.000 0.000 0.000
V 2.994 2.994 2.994
Re 1.497 1.497 1.497
Re 4.491 4.491 4.491
```

=====

(9)
LiReW3: relaxed, PBE.

Calculated values
Spin magnetization   0.0 μB per formula unit
Energy of formation   1.936 eV per atom
Energy above the lowest structure with this stoichiometry   48.3 kJ/mol of atoms

```
5
Lattice="4.802 0.000 0.000 0.000 4.802 0.000 0.000 0.000 4.802" Properties=species:S:1:pos:R:3 pbc="T T T"
Li 0.000 0.000 0.000
Re 2.401 2.401 2.401
W 0.000 2.401 2.401
W 2.401 0.000 2.401
W 2.401 2.401 0.000
```

=====

(10)
LiRe2W: relaxed, PBE.

Calculated values
Spin magnetization   0.0 μB per formula unit
Energy of formation   0.374 eV per atom
Energy above the lowest structure with this stoichiometry   17.8 kJ/mol of atoms

```
4
Lattice="4.436 -1.344 0.000 4.436 1.344 0.000 -0.427 0.000 4.974" Properties=species:S:1:pos:R:3 pbc="T T T"
Li 0.000 0.000 0.000
Re 1.874 0.000 3.736
Re 4.241 0.000 2.523
W 6.595 0.000 1.195
```

=====

(11)
LiReW2: relaxed, PBE.

Calculated values
Spin magnetization   0.0 μB per formula unit
Energy of formation   0.419 eV per atom
Energy above the lowest structure with this stoichiometry   17.0 kJ/mol of atoms

```
4
Lattice="1.386 0.800 9.635 -1.386 0.800 9.635 0.000 -1.601 9.635" Properties=species:S:1:pos:R:3 pbc="T T T"
Li 0.000 0.000 0.000
Re 0.000 0.000 14.452
W 0.000 0.000 7.122
W 0.000 0.000 21.782
```

=====

(12)
LiRe2W2: relaxed, PBE.

Calculated values
Spin magnetization   0.0 μB per formula unit
Energy of formation   0.584 eV per atom

```
5
Lattice="-2.116 2.116 5.433 2.116 -2.116 5.433 2.116 2.116 -5.433" Properties=species:S:1:pos:R:3 pbc="T T T"
Li 0.000 0.000 0.000
Re 0.000 0.000 4.131
Re 0.000 0.000 6.735
W 2.116 0.000 2.716
W 0.000 2.116 2.716
```

=====

(13)
LiRe2W: relaxed, PBE.

Calculated values
Spin magnetization   0.0 μB per formula unit
Energy of formation   0.463 eV per atom
Energy above the lowest structure with this stoichiometry   26.3 kJ/mol of atoms

```
4
Lattice="2.737 0.000 0.000 0.000 2.737 0.000 0.000 0.000 8.215" Properties=species:S:1:pos:R:3 pbc="T T T"
Li 0.000 0.000 0.000
Re 0.000 0.000 3.968
Re 1.368 1.368 2.087
W 1.368 1.368 6.022
```

=====

(14)
LiReW2: relaxed, PBE.

Calculated values
Spin magnetization   0.0 μB per formula unit
Energy of formation   0.243 eV per atom
Energy above the lowest structure with this stoichiometry   0.0 kJ/mol of atoms

```
4
Lattice="2.650 0.000 0.000 0.000 4.403 0.000 -0.848 0.000 5.167" Properties=species:S:1:pos:R:3 pbc="T T T"
Li 0.000 0.000 0.000
Re 1.832 2.202 1.276
W 0.058 2.202 3.918
W 0.998 0.000 2.538
```

=====

(15)
LiRe2W: relaxed, PBE.

Calculated values
Spin magnetization   0.0 μB per formula unit
Energy of formation   1.004 eV per atom
Energy above the lowest structure with this stoichiometry   78.5 kJ/mol of atoms

```
8
Lattice="-3.530 3.530 2.623 3.530 -3.530 2.623 3.530 3.530 -2.623" Properties=species:S:1:pos:R:3 pbc="T T T"
Li 0.000 0.000 0.000
Li 0.000 3.530 1.312
Re 1.765 -1.644 1.967
Re 1.886 1.765 0.656
Re 1.765 5.174 -0.656
Re 1.644 1.765 3.279
W 3.530 0.000 1.312
W 0.000 0.000 2.623
```

=====

(16)
LiReW2: relaxed, PBE.

Calculated values
Spin magnetization   0.0 μB per formula unit
Energy of formation   0.402 eV per atom
Energy above the lowest structure with this stoichiometry   15.4 kJ/mol of atoms

```
4
Lattice="2.600 0.000 0.000 0.000 4.308 0.000 0.000 0.000 5.444" Properties=species:S:1:pos:R:3 pbc="T T T"
Li 0.000 0.000 0.000
Re 1.300 2.154 1.301
W 0.000 0.000 2.689
W 1.300 2.154 4.157
```

=====

(17)
LiReW2: relaxed, PBE.

Calculated values
Spin magnetization   0.0 μB per formula unit
Energy of formation   0.257 eV per atom
Energy above the lowest structure with this stoichiometry   1.4 kJ/mol of atoms

```
4
Lattice="2.656 0.000 0.000 0.000 4.408 0.000 -0.819 0.000 5.143" Properties=species:S:1:pos:R:3 pbc="T T T"
Li 0.000 0.000 0.000
Re 0.919 0.000 2.572
W 0.019 2.204 3.866
W 1.819 2.204 1.277
```

=====

(18)
LiRe2W: relaxed, PBE.

Calculated values
Spin magnetization   0.0 μB per formula unit
Energy of formation   0.190 eV per atom
Energy above the lowest structure with this stoichiometry   0.0 kJ/mol of atoms

```
4
Lattice="2.640 0.000 0.000 0.000 4.339 0.000 -0.756 0.000 5.137" Properties=species:S:1:pos:R:3 pbc="T T T"
Li 0.000 0.000 0.000
Re 0.132 2.170 3.911
Re 1.752 2.170 1.226
W 0.942 0.000 2.568
```

=====

(19)
LiRe2W: relaxed, PBE.

Calculated values
Spin magnetization   0.0 μB per formula unit
Energy of formation   0.400 eV per atom
Energy above the lowest structure with this stoichiometry   20.2 kJ/mol of atoms

```
4
Lattice="3.164 0.000 0.000 0.000 3.164 0.000 0.000 0.000 5.694" Properties=species:S:1:pos:R:3 pbc="T T T"
Li 0.000 0.000 0.000
Re 0.000 0.000 2.807
Re 1.582 1.582 1.267
W 1.582 1.582 4.346
```

=====

(20)
LiReW2: relaxed, PBE.

Calculated values
Spin magnetization   0.0 μB per formula unit
Energy of formation   0.275 eV per atom
Energy above the lowest structure with this stoichiometry   3.1 kJ/mol of atoms

```
4
Lattice="2.718 -4.430 0.000 2.718 4.430 0.000 -0.863 0.000 2.506" Properties=species:S:1:pos:R:3 pbc="T T T"
Li 0.000 0.000 0.000
Re 2.718 0.000 0.000
W 0.927 2.215 1.253
W 0.927 -2.215 1.253
```

=====

(21)
LiReW2: relaxed, PBE.

Calculated values
Spin magnetization   0.0 μB per formula unit
Energy of formation   0.439 eV per atom
Energy above the lowest structure with this stoichiometry   18.9 kJ/mol of atoms

```
4
Lattice="3.167 0.000 0.000 0.000 3.167 0.000 0.000 0.000 5.819" Properties=species:S:1:pos:R:3 pbc="T T T"
Li 0.000 0.000 0.000
Re 0.000 0.000 2.909
W 1.584 1.584 1.350
W 1.584 1.584 4.468
```

=====

(22)
LiRe4W: relaxed, PBE.

Calculated values
Spin magnetization   0.0 μB per formula unit
Energy of formation   0.346 eV per atom

```
6
Lattice="0.000 3.641 3.641 3.641 0.000 3.641 3.641 3.641 0.000" Properties=species:S:1:pos:R:3 pbc="T T T"
Li 0.000 0.000 0.000
Re 2.728 2.728 2.728
Re 4.555 4.555 2.728
Re 4.555 2.728 4.555
Re 2.728 4.555 4.555
W 5.462 5.462 5.462
```

=====

(23)
LiReW2: relaxed, PBE.

Calculated values
Spin magnetization   0.0 μB per formula unit
Energy of formation   0.334 eV per atom
Energy above the lowest structure with this stoichiometry   8.7 kJ/mol of atoms

```
4
Lattice="0.000 3.098 3.098 3.098 0.000 3.098 3.098 3.098 0.000" Properties=species:S:1:pos:R:3 pbc="T T T"
Li 0.000 0.000 0.000
Re 3.098 3.098 3.098
W 1.549 1.549 1.549
W 4.647 4.647 4.647
```

=====

(24)
LiReW2: relaxed, PBE.

Calculated values
Spin magnetization   0.0 μB per formula unit
Energy of formation   0.414 eV per atom
Energy above the lowest structure with this stoichiometry   16.5 kJ/mol of atoms

```
4
Lattice="2.698 -4.185 0.000 2.698 4.185 0.000 0.000 0.000 2.688" Properties=species:S:1:pos:R:3 pbc="T T T"
Li 0.000 0.000 0.000
Re 2.698 0.000 0.000
W 1.349 2.093 1.344
W 1.349 -2.093 1.344
```

=====

(25)
LiReW2: relaxed, PBE.

Calculated values
Spin magnetization   0.0 μB per formula unit
Energy of formation   1.020 eV per atom
Energy above the lowest structure with this stoichiometry   74.9 kJ/mol of atoms

```
8
Lattice="-3.553 3.553 2.664 3.553 -3.553 2.664 3.553 3.553 -2.664" Properties=species:S:1:pos:R:3 pbc="T T T"
Li 0.000 0.000 0.000
Li 0.000 3.553 1.332
Re 3.553 0.000 1.332
Re 0.000 0.000 2.664
W 1.777 -1.617 1.998
W 1.936 1.777 0.666
W 1.777 5.170 -0.666
W 1.617 1.777 3.329
```

=====

(26)
LiRe2W: relaxed, PBE.

Calculated values
Spin magnetization   0.0 μB per formula unit
Energy of formation   0.254 eV per atom
Energy above the lowest structure with this stoichiometry   6.1 kJ/mol of atoms

```
4
Lattice="2.701 -4.397 0.000 2.701 4.397 0.000 -0.931 0.000 2.477" Properties=species:S:1:pos:R:3 pbc="T T T"
Li 0.000 0.000 0.000
Re 0.885 2.199 1.238
Re 0.885 -2.199 1.238
W 2.701 0.000 0.000
```

=====

(27)
Li2ReW2: relaxed, PBE.

Calculated values
Spin magnetization   0.0 μB per formula unit
Energy of formation   0.885 eV per atom
Energy above the lowest structure with this stoichiometry   22.6 kJ/mol of atoms

```
5
Lattice="-1.838 1.838 5.035 1.838 -1.838 5.035 1.838 1.838 -5.035" Properties=species:S:1:pos:R:3 pbc="T T T"
Li 0.000 0.000 0.822
Li 0.000 0.000 9.247
Re 0.000 0.000 5.035
W 1.838 0.000 2.517
W 0.000 1.838 2.517
```

=====

(28)
LiRe2W: relaxed, PBE.

Calculated values
Spin magnetization   0.0 μB per formula unit
Energy of formation   0.327 eV per atom
Energy above the lowest structure with this stoichiometry   13.2 kJ/mol of atoms

```
4
Lattice="1.382 0.798 9.324 -1.382 0.798 9.324 0.000 -1.596 9.324" Properties=species:S:1:pos:R:3 pbc="T T T"
Li 0.000 0.000 0.000
Re 0.000 0.000 6.941
Re 0.000 0.000 21.031
W 0.000 0.000 13.986
```

=====

(29)
LiReW2: relaxed, PBE.

Calculated values
Spin magnetization   0.0 μB per formula unit
Energy of formation   0.266 eV per atom
Energy above the lowest structure with this stoichiometry   2.3 kJ/mol of atoms

```
4
Lattice="1.560 -2.204 0.000 1.560 2.204 0.000 0.000 0.000 9.124" Properties=species:S:1:pos:R:3 pbc="T T T"
Li 0.000 0.000 0.000
Re 1.560 0.000 2.265
W 0.000 0.000 4.464
W 1.560 0.000 6.720
```